# 1
First-principles (PBE) data for Ce2ThN after structural relaxation, as listed in the Alexandria database.

Space group: No. 123
E above lowest polymorph in kJ/mol of formula units: 154
Formation energy without anion corrections in kJ per mole of atoms: -27.5
Size of the total moment in μB/cell: 0.277

Structure (POSCAR):
```
Ce2ThN
1.0
3.192 0.000 0.000
0.000 3.192 0.000
0.000 0.000 8.496
Ce Th N
2 1 1
Direct
0.000 0.000 0.832 Ce
0.000 0.000 0.168 Ce
0.500 0.500 0.500 Th
0.500 0.500 0.000 N
```

***

# 2
First-principles (PBE) data for MnBeCr3 after structural relaxation, as listed in the Alexandria database.

Space group: No. 221
E above lowest polymorph in kJ/mol of formula units: 0
DFT formation energy in eV/atom: 0.975
Size of the total moment in μB/cell: 0.004

Structure (POSCAR):
```
MnBeCr3
1.0
-2.764 -2.254 -1.526
2.334 -3.082 0.326
-1.402 -0.686 3.552
Mn Cr Be
1 3 1
Direct
0.500 0.500 0.500 Mn
0.000 0.000 0.500 Cr
0.500 0.000 0.000 Cr
0.000 0.500 0.000 Cr
0.000 0.000 0.000 Be
```

***

# 3
First-principles (PBE) data for PrSm3Ru after structural relaxation, as listed in the Alexandria database.

Space group: No. 221
E above lowest polymorph in kJ/mol of formula units: 71
DFT formation energy in eV/atom: -0.012
Size of the total moment in μB/cell: 1.214

Structure (POSCAR):
```
PrSm3Ru
1.0
5.504 0.000 0.000
0.000 5.504 0.000
0.000 0.000 5.504
Ru Sm Pr
1 3 1
Direct
0.000 0.000 0.000 Ru
0.000 0.500 0.000 Sm
0.000 0.000 0.500 Sm
0.500 0.000 0.000 Sm
0.500 0.500 0.500 Pr
```

***

# 4
First-principles (PBE) data for Cs2BaTa after structural relaxation, as listed in the Alexandria database.

Space group: No. 225
DFT formation energy in eV/atom: 1.513
Size of the total moment in μB/cell: 5.006

Structure (POSCAR):
```
Cs2BaTa
1.0
0.000 4.666 4.666
4.666 0.000 4.666
4.666 4.666 0.000
Cs Ba Ta
2 1 1
Direct
0.250 0.250 0.250 Cs
0.750 0.750 0.750 Cs
0.000 0.000 0.000 Ba
0.500 0.500 0.500 Ta
```

***

# 5
First-principles (PBE) data for Rb2NaHgPd after structural relaxation, as listed in the Alexandria database.

Space group: No. 123
E above lowest polymorph in kJ/mol of formula units: 26
DFT formation energy in eV/atom: 0.043
Size of the total moment in μB/cell: 0.001

Structure (POSCAR):
```
Rb2NaHgPd
1.0
-4.466 -2.028 -4.240
-3.521 -2.431 4.872
-2.672 4.855 0.492
Pd Rb Na Hg
1 2 1 1
Direct
0.000 0.000 0.000 Pd
0.500 0.000 0.000 Rb
0.000 0.500 0.000 Rb
0.000 0.000 0.500 Na
0.500 0.500 0.500 Hg
```

***

# 6
First-principles (PBE) data for RbThNb2O8 after structural relaxation, as listed in the Alexandria database.

Space group: No. 164
Formation energy without anion corrections in kJ per mole of atoms: -247.4
Size of the total moment in μB/cell: 1.079

Structure (POSCAR):
```
RbThNb2O8
1.0
6.227 0.000 0.000
-3.114 5.393 0.000
0.000 0.000 8.044
Nb Rb O Th
2 1 8 1
Direct
0.333 0.667 0.753 Nb
0.667 0.333 0.247 Nb
0.000 0.000 0.000 Rb
0.667 0.333 0.017 O
0.168 0.335 0.678 O
0.832 0.665 0.322 O
0.333 0.667 0.983 O
0.168 0.832 0.678 O
0.665 0.832 0.678 O
0.832 0.168 0.322 O
0.335 0.168 0.322 O
0.000 0.000 0.500 Th
```

***

# 7
First-principles (PBE) data for ReIr3 after structural relaxation, as listed in the Alexandria database.

Space group: No. 25
E above lowest polymorph in kJ/mol of formula units: 11
DFT formation energy in eV/atom: -0.123
Size of the total moment in μB/cell: 0.000

Structure (POSCAR):
```
ReIr3
1.0
-0.738 2.631 0.370
-2.064 -0.031 -3.896
-4.036 -1.435 2.150
Ir Re
3 1
Direct
0.500 0.000 0.501 Ir
0.500 0.500 0.834 Ir
0.000 0.000 0.001 Ir
0.000 0.500 0.332 Re
```

***

# 8
First-principles (PBE) data for Er2LuNb after structural relaxation, as listed in the Alexandria database.

Space group: No. 166
DFT formation energy in eV/atom: 0.501
Size of the total moment in μB/cell: 0.000

Structure (POSCAR):
```
Er2LuNb
1.0
-1.291 0.803 2.885
-3.170 -0.515 0.568
0.915 -10.315 5.125
Lu Er Nb
1 2 1
Direct
0.500 0.500 0.500 Lu
0.916 0.916 0.253 Er
0.084 0.084 0.747 Er
0.000 0.000 0.000 Nb
```

***

# 9
First-principles (PBE) data for K3Rb3VI8 after structural relaxation, as listed in the Alexandria database.

Space group: No. 166
Formation energy without anion corrections in kJ per mole of atoms: -121.1
Size of the total moment in μB/cell: 3.000

Structure (POSCAR):
```
K3Rb3VI8
1.0
-3.151 -9.313 2.225
6.854 4.531 5.838
-9.710 3.315 0.125
K Rb V I
3 3 1 8
Direct
0.500 0.500 0.500 K
0.500 0.000 0.500 K
0.000 0.500 0.500 K
0.000 0.000 0.000 Rb
0.500 0.500 0.000 Rb
0.000 0.500 0.000 Rb
0.000 0.000 0.500 V
0.209 0.006 0.302 I
0.203 0.994 0.698 I
0.797 0.593 0.302 I
0.797 0.006 0.302 I
0.746 0.492 0.738 I
0.254 0.508 0.262 I
0.791 0.994 0.698 I
0.203 0.407 0.698 I
```

***

# 10
First-principles (PBE) data for CsBeGa2Bi after structural relaxation, as listed in the Alexandria database.

Space group: No. 123
DFT formation energy in eV/atom: 1.730
Size of the total moment in μB/cell: 0.000

Structure (POSCAR):
```
CsBeGa2Bi
1.0
-2.482 -1.759 -5.544
0.551 -6.170 1.711
-5.791 0.185 2.534
Ga Bi Be Cs
2 1 1 1
Direct
0.000 0.000 0.500 Ga
0.500 0.000 0.000 Ga
0.000 0.500 0.000 Bi
0.500 0.500 0.500 Be
0.000 0.000 0.000 Cs
```

***

# 11
First-principles (PBE) data for SrLaTl after structural relaxation, as listed in the Alexandria database.

Space group: No. 12
DFT formation energy in eV/atom: -0.219
Size of the total moment in μB/cell: 1.159

Structure (POSCAR):
```
SrLaTl
1.0
7.927 -0.030 -0.028
-3.679 5.437 0.050
-3.679 0.312 5.428
Sr Tl La
2 2 2
Direct
0.735 0.248 0.602 Sr
0.734 0.605 0.959 Sr
0.234 0.678 0.529 Tl
0.234 0.176 0.031 Tl
0.097 0.108 0.462 La
0.372 0.745 0.098 La
```

***

# 12
First-principles (PBE) data for ReP after structural relaxation, as listed in the Alexandria database.

Space group: No. 216
E above lowest polymorph in kJ/mol of formula units: 122
DFT formation energy in eV/atom: 0.343
Size of the total moment in μB/cell: 0.000

Structure (POSCAR):
```
ReP
1.0
5.310 0.000 0.000
0.000 5.310 0.000
0.000 0.000 5.310
Re P
4 4
Direct
0.500 0.500 0.000 Re
0.000 0.500 0.500 Re
0.500 0.000 0.500 Re
0.000 0.000 0.000 Re
0.250 0.750 0.750 P
0.250 0.250 0.250 P
0.750 0.750 0.250 P
0.750 0.250 0.750 P
```